A plane-wave DFT calculation with PBE with a Hubbard U was carried out for crystalline NaIn2MoF8 at its relaxed geometry.

The structure in POSCAR format:
```
NaIn2MoF8
1.0
-4.6706 2.0341 2.6288
-4.0331 -2.9695 -2.8636
0.1331 -4.5188 4.1287
Na In Mo F
1 2 1 8
Cartesian
0.0666 -2.2594 2.0643
-4.6899 -4.0342 3.0864
-3.8806 -1.4200 0.8074
0.0000 0.0000 0.0000
-3.5200 -2.9817 -0.8172
-6.8805 -4.4390 3.2035
-3.8840 0.0781 2.5319
-5.0506 -2.4725 4.7110
-1.6900 -1.0152 0.6903
-4.6865 -5.5323 1.3619
-5.5159 -2.6133 1.7060
-3.0547 -2.8409 2.1879
```

Total magnetization (μB per cell): 3.0
Total DFT energy (no corrections) (eV per cell): -58.2
SG: P-1 (2)